# PBEsol BeCoNi2, relaxed
data_BeCoNi2
_chemical_formula_sum 'Be3 Co3 Ni6'
_cell_length_a 2.4240
_cell_length_b 2.4240
_cell_length_c 22.8029
_cell_angle_alpha 90.00
_cell_angle_beta 90.00
_cell_angle_gamma 120.00
_space_group_name_H-M_alt 'R -3 m'
_space_group_IT_number 166
_space_group_name_Hall '-R 3 2"'
loop_
_atom_site_label
_atom_site_fract_x
_atom_site_fract_y
_atom_site_fract_z
Be1 0.0000 0.0000 0.0000
Co1 0.0000 0.0000 0.5000
Ni1 0.0000 0.0000 0.2554
# - ρ (g/cm³) = 8.0
# - DOS(E_F) (states/eV/f.u.) = 3.2
# - energy relative to the elements (eV/atom) = -0.115